(1)
A plane-wave DFT calculation with PBE was carried out for an optimized crystal structure of Er4Tm3In.

Summary:
The energy above the lowest structure with this stoichiometry is 0.0103 eV per atom. As for the crystal system: orthorhombic. The formation energy comes out at -0.9 eV/f.u.

a = 11.0665 Å, b = 6.9239 Å, c = 6.0840 Å
α = 90.00°, β = 90.00°, γ = 90.00°
Closest atoms and distances in Å follow each position.
Positions (direct):
Er1 0.0000 0.1273 0.0000  4 Tm 3.34-3.62, 6 Er 3.35-3.67, 2 In 3.42-3.50
Er2 0.0000 0.8689 0.4728  6 Er 3.39-3.67, 2 In 3.43-3.55, 4 Tm 3.45-3.48
Er3 0.2398 0.8738 0.8263  1 In 3.32, 6 Er 3.35-3.52, 5 Tm 3.40-3.64
Er4 0.2602 0.1262 0.3263  1 In 3.32, 6 Er 3.35-3.52, 5 Tm 3.40-3.64
Er5 0.5000 0.1311 0.9728  6 Er 3.39-3.67, 2 In 3.43-3.55, 4 Tm 3.45-3.48
Er6 0.5000 0.8727 0.5000  4 Tm 3.34-3.62, 6 Er 3.35-3.67, 2 In 3.42-3.50
Er7 0.7398 0.1262 0.3263  1 In 3.32, 6 Er 3.35-3.52, 5 Tm 3.40-3.64
Er8 0.7602 0.8738 0.8263  1 In 3.32, 6 Er 3.35-3.52, 5 Tm 3.40-3.64
Tm1 0.0000 0.3703 0.4736  6 Er 3.34-3.62, 4 Tm 3.37-3.46, 2 In 3.45-3.56
Tm2 0.2439 0.3831 0.8061  2 In 3.34-3.44, 4 Tm 3.37-3.46, 6 Er 3.40-3.64
Tm3 0.2561 0.6169 0.3061  2 In 3.34-3.44, 4 Tm 3.37-3.46, 6 Er 3.40-3.64
Tm4 0.5000 0.6297 0.9736  6 Er 3.34-3.62, 4 Tm 3.37-3.46, 2 In 3.45-3.56
Tm5 0.7439 0.6169 0.3061  2 In 3.34-3.44, 4 Tm 3.37-3.46, 6 Er 3.40-3.64
Tm6 0.7561 0.3831 0.8061  2 In 3.34-3.44, 4 Tm 3.37-3.46, 6 Er 3.40-3.64
In1 0.0000 0.6213 0.9844  6 Er 3.32-3.55, 6 Tm 3.34-3.56
In2 0.5000 0.3787 0.4844  6 Er 3.32-3.55, 6 Tm 3.34-3.56

(2)
A plane-wave DFT calculation with PBE was carried out for an optimized crystal structure of Pr2SbPd.

Summary:
The value obtained for the formation energy (no corrections) is -0.744 eV per formula unit. The energy above the lowest structure with this stoichiometry is 0.7237 eV per atom. As for the crystal system: trigonal.

a = 4.1573 Å, b = 4.1573 Å, c = 28.2474 Å
α = 90.00°, β = 90.00°, γ = 120.00°
Closest atoms and distances in Å follow each position.
Positions (direct):
Pr1 0.0000 0.0000 0.0968  1 Pd 2.73
Pr2 0.0000 0.0000 0.9032  1 Pd 2.73
Pr3 0.3333 0.6667 0.5699  1 Pd 2.73
Pr4 0.3333 0.6667 0.7635  1 Pd 2.73
Pr5 0.6667 0.3333 0.2365  1 Pd 2.73
Pr6 0.6667 0.3333 0.4301  1 Pd 2.73
Sb1 0.0000 0.0000 0.5000  6 Pr 3.11
Sb2 0.3333 0.6667 0.1667  6 Pr 3.11
Sb3 0.6667 0.3333 0.8333  6 Pr 3.11
Pd1 0.0000 0.0000 0.0000  2 Pr 2.73
Pd2 0.3333 0.6667 0.6667  2 Pr 2.73
Pd3 0.6667 0.3333 0.3333  2 Pr 2.73

(3)
A plane-wave DFT calculation with PBE was carried out for an optimized crystal structure of SrSn2Sb.

Summary:
The value obtained for the formation energy (no corrections) is -1.668 eV per formula unit. As for the crystal system: tetragonal.

a = 4.7808 Å, b = 4.7808 Å, c = 5.1143 Å
α = 90.00°, β = 90.00°, γ = 90.00°
Closest atoms and distances in Å follow each position.
Positions (direct):
Sr1 0.0000 0.0000 0.0000  4 Sb 3.38, 8 Sn 3.50
Sn1 0.0000 0.5000 0.5000  4 Sn 3.38, 4 Sb 3.50, 4 Sr 3.50
Sn2 0.5000 0.0000 0.5000  4 Sn 3.38, 4 Sb 3.50, 4 Sr 3.50
Sb1 0.5000 0.5000 0.0000  4 Sr 3.38, 8 Sn 3.50

(4)
A plane-wave DFT calculation with PBE was carried out for an optimized crystal structure of La5Ge2Rh.

Summary:
As for the crystal system: orthorhombic. The formation energy comes out at -5.7 eV/f.u.

a = 8.0438 Å, b = 12.4568 Å, c = 4.6374 Å
α = 90.00°, β = 90.00°, γ = 90.00°
Closest atoms and distances in Å follow each position.
Positions (direct):
La1 0.0000 0.0000 0.0000  4 Ge 3.19, 4 La 3.51
La2 0.1482 0.2902 0.0000  1 Rh 2.87
La3 0.1917 0.5704 0.5000  2 Rh 2.92
La4 0.3083 0.0704 0.5000  2 Rh 2.92
La5 0.3518 0.7902 0.0000  1 Rh 2.87
La6 0.5000 0.5000 0.0000  4 Ge 3.19, 4 La 3.51
La7 0.6482 0.2098 0.0000  1 Rh 2.87
La8 0.6917 0.9296 0.5000  2 Rh 2.92
La9 0.8083 0.4296 0.5000  2 Rh 2.92
La10 0.8518 0.7098 0.0000  1 Rh 2.87
Ge1 0.0725 0.8303 0.5000  9 La 3.19-3.54
Ge2 0.4275 0.3303 0.5000  9 La 3.19-3.54
Ge3 0.5725 0.6697 0.5000  9 La 3.19-3.54
Ge4 0.9275 0.1697 0.5000  9 La 3.19-3.54
Rh1 0.0000 0.5000 0.0000  6 La 2.87-2.92
Rh2 0.5000 0.0000 0.0000  6 La 2.87-2.92

Number 1: calculated volume 29.14 Å³/atom. Number 2: calculated volume 35.23 Å³/atom. Number 3: calculated volume 29.22 Å³/atom. Number 4: calculated volume 29.04 Å³/atom.